DFT (GGA-PBE) results for a geometry-optimized Tl9GeTe6 structure.

Output
symmetry: No. 87
uncorrected formation energy: -0.25 eV per atom
mass density: 8482 kg/m3

a = 8.8551 Å, b = 8.8551 Å, c = 9.1597 Å
α = 118.91°, β = 118.91°, γ = 90.00°
Fractional coordinates of all 16 atoms:
1 Tl 0.0110 0.8061 0.3131
2 Tl 0.3021 0.5070 0.3131
3 Tl 0.8061 0.3021 0.3131
4 Tl 0.5070 0.0110 0.3131
5 Tl 0.9890 0.1939 0.6869
6 Tl 0.6979 0.4930 0.6869
7 Tl 0.1939 0.6979 0.6869
8 Tl 0.4930 0.9890 0.6869
9 Tl 0.5000 0.5000 0.0000
10 Ge 0.0000 0.0000 0.0000
11 Te 0.6766 0.8523 0.0000
12 Te 0.3234 0.1477 0.0000
13 Te 0.8523 0.3234 0.0000
14 Te 0.1477 0.6766 0.0000
15 Te 0.7686 0.7686 0.5371
16 Te 0.2314 0.2314 0.4629